1.
Compound: CaNp2Pd9
Source: Alexandria
Functional: PBE
Structure: optimized geometry

* SG: No. 123
* ΔE_f: -486 meV per atom
* crystal system: tetragonal

Cell lengths 4.129, 4.129, 12.409 Å; angles 90.00, 90.00, 90.00 degrees
Atoms (fractional coordinates):
Ca (0.000, 0.000, 0.000)
Np (0.000, 0.000, 0.331)
Np (0.000, 0.000, 0.669)
Pd (0.000, 0.500, 0.172)
Pd (0.000, 0.500, 0.500)
Pd (0.000, 0.500, 0.828)
Pd (0.500, 0.000, 0.172)
Pd (0.500, 0.000, 0.500)
Pd (0.500, 0.000, 0.828)
Pd (0.500, 0.500, 0.000)
Pd (0.500, 0.500, 0.336)
Pd (0.500, 0.500, 0.664)



2.
Compound: CaNpPd4
Source: Alexandria
Functional: PBE
Structure: optimized geometry

* SG: No. 216
* ΔE_f: -424 meV per atom
* crystal system: cubic

Cell lengths 5.457, 5.457, 5.457 Å; angles 60.00, 60.00, 60.00 degrees
Atoms (fractional coordinates):
Ca (0.000, 0.000, 0.000)
Np (0.750, 0.750, 0.750)
Pd (0.375, 0.375, 0.375)
Pd (0.375, 0.375, 0.875)
Pd (0.375, 0.875, 0.375)
Pd (0.875, 0.375, 0.375)



3.
Compound: Ca3Pm2NpTe6
Source: Alexandria
Functional: PBE
Structure: optimized geometry

* SG: No. 12
* crystal system: monoclinic
* DFT total energy: -5.291 eV/atom

Cell lengths 10.061, 10.061, 9.026 Å; angles 104.09, 104.09, 25.48 degrees
Atoms (fractional coordinates):
Ca (0.000, 0.000, 0.000)
Ca (0.333, 0.333, 0.667)
Ca (0.667, 0.667, 0.333)
Pm (0.334, 0.334, 0.169)
Pm (0.666, 0.666, 0.831)
Np (0.000, 0.000, 0.500)
Te (0.167, 0.167, 0.085)
Te (0.167, 0.167, 0.581)
Te (0.499, 0.499, 0.749)
Te (0.501, 0.501, 0.251)
Te (0.833, 0.833, 0.419)
Te (0.833, 0.833, 0.915)



4.
Compound: CaNpPt10
Source: Alexandria
Functional: PBE
Structure: optimized geometry

* SG: No. 47
* ΔE_f: -490 meV per atom
* crystal system: orthorhombic

Cell lengths 4.436, 5.392, 9.304 Å; angles 90.00, 90.00, 90.00 degrees
Atoms (fractional coordinates):
Ca (0.000, 0.000, 0.000)
Np (0.000, 0.500, 0.500)
Pt (0.000, 0.000, 0.335)
Pt (0.000, 0.000, 0.665)
Pt (0.000, 0.500, 0.169)
Pt (0.000, 0.500, 0.831)
Pt (0.500, 0.000, 0.500)
Pt (0.500, 0.253, 0.253)
Pt (0.500, 0.253, 0.747)
Pt (0.500, 0.500, 0.000)
Pt (0.500, 0.747, 0.253)
Pt (0.500, 0.747, 0.747)